Arrangement one

A plane-wave DFT calculation with PBE was carried out for a geometry-optimized La6Cd2Tc structure.

Results
Total magnetization = 0.0000 μB/atom

a = 4.0168 Å, b = 9.1181 Å, c = 8.9457 Å
α = 120.64°, β = 90.00°, γ = 90.00°
Atoms (fractional coordinates):
La (0.5000, 0.6006, 0.0000)
La (0.5000, 0.3947, 0.4017)
La (0.5000, 0.9930, 0.5983)
La (0.0000, 0.2353, 0.0000)
La (0.0000, 0.7659, 0.7727)
La (0.0000, 0.9933, 0.2273)
Cd (0.0000, 0.3266, 0.6646)
Cd (0.0000, 0.6620, 0.3354)
Tc (0.5000, 0.0286, 0.0000)



Arrangement two

A plane-wave DFT calculation with PBE was carried out for a geometry-optimized La6Cd2Tc structure.

Results
Total magnetization = 0.0000 μB/atom

a = 7.6446 Å, b = 7.4896 Å, c = 10.4540 Å
α = 90.00°, β = 90.34°, γ = 90.00°
Atoms (fractional coordinates):
La (0.9300, 0.9988, 0.2439)
La (0.7402, 0.7522, 0.5366)
La (0.7437, 0.7639, 0.9622)
La (0.7563, 0.2639, 0.5378)
La (0.7598, 0.2522, 0.9634)
La (0.5700, 0.4988, 0.2561)
La (0.0700, 0.0012, 0.7561)
La (0.2598, 0.2478, 0.4634)
La (0.2563, 0.2361, 0.0378)
La (0.2437, 0.7361, 0.4622)
La (0.2402, 0.7478, 0.0366)
La (0.4300, 0.5012, 0.7439)
Cd (0.9996, 0.5102, 0.7574)
Cd (0.5004, 0.0102, 0.7426)
Cd (0.4996, 0.9898, 0.2574)
Cd (0.0004, 0.4898, 0.2426)
Tc (0.5000, 0.5000, 0.0000)
Tc (0.0000, 0.0000, 0.5000)



So which one is most stable? That would be arrangement one, about 3.1 kJ/mol of atoms below the next structure.



Arrangement one

A plane-wave DFT calculation with PBE was carried out for a geometry-optimized La2CdTe structure.

Results
Total magnetization = 0.0000 μB/atom

a = 6.5354 Å, b = 6.5354 Å, c = 6.5354 Å
α = 138.32°, β = 138.32°, γ = 60.41°
Atoms (fractional coordinates):
Cd (0.7500, 0.2500, 0.5000)
Te (0.5000, 0.5000, 0.0000)
La (0.0000, 0.0000, 0.0000)
La (0.2500, 0.7500, 0.5000)



Arrangement two

A plane-wave DFT calculation with PBE was carried out for a geometry-optimized La2CdTe structure.

Results
Total magnetization = 0.0000 μB/atom

a = 4.3122 Å, b = 4.3122 Å, c = 8.9353 Å
α = 76.04°, β = 76.04°, γ = 60.00°
Atoms (fractional coordinates):
La (0.0780, 0.0780, 0.7661)
La (0.2550, 0.2550, 0.2350)
Cd (0.4995, 0.4995, 0.5014)
Te (0.6675, 0.6675, 0.9976)



So which one is most stable? That would be arrangement two, about 9.0 kJ/mol of atoms below the next structure.



Arrangement one

A plane-wave DFT calculation with PBE was carried out for a geometry-optimized La2CdTe structure.

Results
Total magnetization = 0.0000 μB/atom

a = 6.4523 Å, b = 6.4523 Å, c = 5.0543 Å
α = 91.13°, β = 91.13°, γ = 37.71°
Atoms (fractional coordinates):
Cd (0.7345, 0.7345, 0.8709)
Te (0.5216, 0.5216, 0.3794)
La (0.9938, 0.9938, 0.8781)
La (0.2501, 0.2501, 0.3717)



Arrangement two

A plane-wave DFT calculation with PBE was carried out for a geometry-optimized La2CdTe structure.

Results
Total magnetization = 0.0001 μB/atom

a = 5.5595 Å, b = 5.5595 Å, c = 5.5595 Å
α = 60.00°, β = 60.00°, γ = 60.00°
Atoms (fractional coordinates):
Cd (0.0000, 0.0000, 0.0000)
Te (0.5000, 0.5000, 0.5000)
La (0.2500, 0.2500, 0.2500)
La (0.7500, 0.7500, 0.7500)



Arrangement three

A plane-wave DFT calculation with PBE was carried out for a geometry-optimized La2CdTe structure.

Results
Total magnetization = 0.0000 μB/atom

a = 4.4398 Å, b = 4.4398 Å, c = 8.4658 Å
α = 74.80°, β = 74.79°, γ = 59.98°
Atoms (fractional coordinates):
Te (0.2500, 0.2500, 0.2500)
La (0.9966, 0.9966, 0.0104)
La (0.5034, 0.5034, 0.4896)
Cd (0.7500, 0.7500, 0.7500)



So which one is most stable? That would be arrangement three, about 2.3 kJ/mol of atoms below the next structure.



Arrangement one

A plane-wave DFT calculation with PBE was carried out for a geometry-optimized La2CdTe structure.

Results
Total magnetization = 0.0000 μB/atom

a = 4.0440 Å, b = 4.0440 Å, c = 7.4461 Å
α = 90.00°, β = 90.00°, γ = 90.00°
Atoms (fractional coordinates):
Cd (0.5000, 0.5000, 0.7500)
Te (0.5000, 0.5000, 0.2500)
La (0.0000, 0.0000, 0.0039)
La (0.0000, 0.0000, 0.4961)



Arrangement two

A plane-wave DFT calculation with PBE was carried out for a geometry-optimized La2CdTe structure.

Results
Total magnetization = 0.0005 μB/atom

a = 5.7796 Å, b = 5.7796 Å, c = 5.7796 Å
α = 126.60°, β = 126.35°, γ = 79.10°
Atoms (fractional coordinates):
Cd (0.7500, 0.2500, 0.5000)
Te (0.2500, 0.7500, 0.5000)
La (0.0003, 0.0003, 0.0000)
La (0.4997, 0.4997, 0.0000)



So which one is most stable? That would be arrangement one, about 9.2 kJ/mol of atoms below the next structure.



Arrangement one

A plane-wave DFT calculation with PBE was carried out for a geometry-optimized La2CdTe structure.

Results
Total magnetization = 0.0000 μB/atom

a = 4.5217 Å, b = 4.6582 Å, c = 6.5256 Å
α = 90.00°, β = 90.00°, γ = 90.00°
Atoms (fractional coordinates):
Cd (0.5000, 0.5000, 0.8748)
Te (0.0000, 0.0000, 0.3751)
La (0.0000, 0.0000, 0.8752)
La (0.5000, 0.5000, 0.3749)



Arrangement two

A plane-wave DFT calculation with PBE was carried out for a geometry-optimized La2CdTe structure.

Results
Total magnetization = 0.0003 μB/atom

a = 5.6036 Å, b = 5.6036 Å, c = 3.8990 Å
α = 90.00°, β = 90.00°, γ = 100.05°
Atoms (fractional coordinates):
Cd (0.0000, 0.5000, 0.5000)
Te (0.5000, 0.0000, 0.5000)
La (0.0000, 0.0000, 0.0000)
La (0.5000, 0.5000, 0.0000)



So which one is most stable? That would be arrangement one, about 1.5 kJ/mol of atoms below the next structure.



Arrangement one

A plane-wave DFT calculation with PBE was carried out for a geometry-optimized LaThCd structure.

Results
Total magnetization = 0.0000 μB/atom

a = 3.6156 Å, b = 5.3637 Å, c = 5.3637 Å
α = 120.00°, β = 90.00°, γ = 90.00°
Atoms (fractional coordinates):
Cd (0.6844, 0.6667, 0.3333)
Th (0.9655, 0.0000, 0.0000)
La (0.3500, 0.3333, 0.6667)



Arrangement two

A plane-wave DFT calculation with PBE was carried out for a geometry-optimized LaThCd structure.

Results
Total magnetization = 0.0000 μB/atom

a = 3.7457 Å, b = 3.7457 Å, c = 7.2516 Å
α = 104.97°, β = 104.97°, γ = 90.00°
Atoms (fractional coordinates):
Cd (0.6686, 0.6686, 0.3372)
Th (0.3217, 0.3217, 0.6434)
La (0.0097, 0.0097, 0.0193)



Arrangement three

A plane-wave DFT calculation with PBE was carried out for a geometry-optimized LaThCd structure.

Results
Total magnetization = 0.0000 μB/atom

a = 3.6861 Å, b = 5.7047 Å, c = 9.1238 Å
α = 90.00°, β = 101.65°, γ = 90.00°
Atoms (fractional coordinates):
Cd (0.4370, 0.2500, 0.8740)
Cd (0.5630, 0.7500, 0.1260)
La (0.9069, 0.7500, 0.8138)
La (0.0931, 0.2500, 0.1862)
Th (0.7746, 0.2500, 0.5492)
Th (0.2254, 0.7500, 0.4508)



So which one is most stable? That would be arrangement three, about 5.6 kJ/mol of atoms below the next structure.



Arrangement one

A plane-wave DFT calculation with PBE was carried out for a geometry-optimized LaThCd2 structure.

Results
Total magnetization = 0.0002 μB/atom

a = 5.4900 Å, b = 5.4900 Å, c = 5.4900 Å
α = 60.00°, β = 60.00°, γ = 60.00°
Atoms (fractional coordinates):
Cd (0.2500, 0.2500, 0.2500)
Cd (0.7500, 0.7500, 0.7500)
Th (0.0000, 0.0000, 0.0000)
La (0.5000, 0.5000, 0.5000)



Arrangement two

A plane-wave DFT calculation with PBE was carried out for a geometry-optimized LaThCd2 structure.

Results
Total magnetization = 0.0254 μB/atom

a = 3.8761 Å, b = 3.8761 Å, c = 7.7959 Å
α = 90.00°, β = 90.00°, γ = 90.00°
Atoms (fractional coordinates):
Cd (0.0000, 0.0000, 0.7557)
Cd (0.0000, 0.0000, 0.2443)
Th (0.5000, 0.5000, 0.0000)
La (0.5000, 0.5000, 0.5000)



So which one is most stable? That would be arrangement two, about 2.6 kJ/mol of atoms below the next structure.



Arrangement one

A plane-wave DFT calculation with PBE was carried out for a geometry-optimized La2ThCd structure.

Results
Total magnetization = 0.0000 μB/atom

a = 3.6787 Å, b = 3.6787 Å, c = 9.4126 Å
α = 90.00°, β = 90.00°, γ = 90.00°
Atoms (fractional coordinates):
Cd (0.5000, 0.5000, 0.0000)
Th (0.5000, 0.5000, 0.5000)
La (0.0000, 0.0000, 0.7613)
La (0.0000, 0.0000, 0.2387)



Arrangement two

A plane-wave DFT calculation with PBE was carried out for a geometry-optimized La2ThCd structure.

Results
Total magnetization = 0.0000 μB/atom

a = 3.6463 Å, b = 3.6463 Å, c = 11.5454 Å
α = 80.91°, β = 80.91°, γ = 60.00°
Atoms (fractional coordinates):
La (0.0800, 0.0800, 0.7601)
La (0.2535, 0.2535, 0.2396)
Th (0.4999, 0.4999, 0.5003)
Cd (0.6667, 0.6667, 0.0000)



Arrangement three

A plane-wave DFT calculation with PBE was carried out for a geometry-optimized La2ThCd structure.

Results
Total magnetization = 0.0001 μB/atom

a = 3.4672 Å, b = 3.4672 Å, c = 12.5564 Å
α = 82.06°, β = 82.06°, γ = 60.00°
Atoms (fractional coordinates):
Cd (0.5000, 0.5000, 0.5000)
Th (0.0000, 0.0000, 0.0000)
La (0.0918, 0.0918, 0.7246)
La (0.9082, 0.9082, 0.2754)



Arrangement four

A plane-wave DFT calculation with PBE was carried out for a geometry-optimized La2ThCd structure.

Results
Total magnetization = 0.0001 μB/atom

a = 5.0726 Å, b = 4.9878 Å, c = 4.9878 Å
α = 90.00°, β = 90.00°, γ = 90.00°
Atoms (fractional coordinates):
Cd (0.5000, 0.0000, 0.0000)
Th (0.5000, 0.5000, 0.5000)
La (0.0000, 0.0000, 0.5000)
La (0.0000, 0.5000, 0.0000)



So which one is most stable? That would be arrangement one, about 11.6 kJ/mol of atoms below the next structure.